# TbCe2Er3P6, optimized geometry, DFT PBE
# N(E_F) in states/eV per cell: 9.61
# Energy relative to the elements in eV per formula unit: -18.93
# Space-group type: No. 12
data_TbCe2Er3P6
_chemical_formula_sum 'Tb1 Ce2 Er3 P6'
_cell_length_a 6.9579
_cell_length_b 6.9579
_cell_length_c 6.9438
_cell_angle_alpha 99.61
_cell_angle_beta 99.61
_cell_angle_gamma 120.00
_symmetry_space_group_name_H-M 'P 1'
_symmetry_Int_Tables_number 1
loop_
_symmetry_equiv_pos_as_xyz
'x,y,z'
loop_
_atom_site_label
_atom_site_fract_x
_atom_site_fract_y
_atom_site_fract_z
P1 0.0847 0.4181 0.2541
P2 0.5819 0.9153 0.7459
P3 0.7517 0.7517 0.2553
P4 0.9153 0.5819 0.7459
P5 0.2483 0.2483 0.7447
P6 0.4181 0.0847 0.2541
Er1 0.8333 0.1667 0.5000
Er2 0.5000 0.5000 0.5000
Er3 0.1667 0.8333 0.5000
Tb1 0.0000 0.0000 0.0000
Ce1 0.3334 0.6666 0.0000
Ce2 0.6666 0.3334 0.0000


# Co2TcW, optimized geometry, DFT PBE
# N(E_F) in states/eV per cell: 3.45
# Energy relative to the elements in eV per formula unit: 0.14
# Space-group type: No. 65
# Energy relative to the lowest polymorph listed for this composition in meV per atom: 62
data_Co2TcW
_chemical_formula_sum 'Co2 Tc1 W1'
_cell_length_a 4.5401
_cell_length_b 4.5401
_cell_length_c 2.6372
_cell_angle_alpha 89.99
_cell_angle_beta 89.99
_cell_angle_gamma 109.44
_symmetry_space_group_name_H-M 'P 1'
_symmetry_Int_Tables_number 1
loop_
_symmetry_equiv_pos_as_xyz
'x,y,z'
loop_
_atom_site_label
_atom_site_fract_x
_atom_site_fract_y
_atom_site_fract_z
Co1 0.5000 0.5000 0.0000
Co2 0.0000 0.0000 0.0000
Tc1 0.5000 0.0000 0.5000
W1 0.0000 0.5000 0.5000


# Na2NpInO6, optimized geometry, DFT PBE
# Space-group type: No. 14
# E_form (uncorrected) in meV per atom: -2104.8
data_Na2NpInO6
_chemical_formula_sum 'Na4 Np2 In2 O12'
_cell_length_a 5.6905
_cell_length_b 5.8148
_cell_length_c 8.1335
_cell_angle_alpha 90.00
_cell_angle_beta 89.84
_cell_angle_gamma 90.00
_symmetry_space_group_name_H-M 'P 1'
_symmetry_Int_Tables_number 1
loop_
_symmetry_equiv_pos_as_xyz
'x,y,z'
loop_
_atom_site_label
_atom_site_fract_x
_atom_site_fract_y
_atom_site_fract_z
Na1 0.5086 0.5379 0.7514
Na2 0.9914 0.0379 0.7486
Na3 0.4914 0.4621 0.2486
Na4 0.0086 0.9621 0.2514
Np1 0.0000 0.5000 0.0000
Np2 0.5000 0.0000 0.5000
O1 0.9067 0.5304 0.2402
O2 0.7126 0.3045 0.9537
O3 0.0933 0.4696 0.7598
O4 0.4067 0.9696 0.7402
O5 0.3089 0.7151 0.4495
O6 0.1911 0.2151 0.0505
O7 0.5933 0.0304 0.2598
O8 0.8089 0.7849 0.9495
O9 0.2874 0.6955 0.0463
O10 0.7874 0.8045 0.5463
O11 0.6911 0.2849 0.5505
O12 0.2126 0.1955 0.4537
In1 0.5000 0.0000 0.0000
In2 0.0000 0.5000 0.5000


# Y2Tl3Rh, optimized geometry, DFT PBE
# N(E_F) in states/eV per cell: 7.05
# Energy relative to the elements in eV per formula unit: -1.68
# Space-group type: No. 72
data_Y2Tl3Rh
_chemical_formula_sum 'Y4 Tl6 Rh2'
_cell_length_a 6.6547
_cell_length_b 6.5084
_cell_length_c 8.5619
_cell_angle_alpha 112.34
_cell_angle_beta 112.87
_cell_angle_gamma 90.00
_symmetry_space_group_name_H-M 'P 1'
_symmetry_Int_Tables_number 1
loop_
_symmetry_equiv_pos_as_xyz
'x,y,z'
loop_
_atom_site_label
_atom_site_fract_x
_atom_site_fract_y
_atom_site_fract_z
Tl1 0.5000 0.2500 0.0000
Tl2 0.5000 0.7500 0.0000
Tl3 0.1073 0.8589 0.7179
Tl4 0.8927 0.1411 0.2821
Tl5 0.3894 0.6411 0.2821
Tl6 0.6106 0.3589 0.7179
Y1 0.9246 0.6381 0.2763
Y2 0.3517 0.1381 0.2763
Y3 0.6483 0.8619 0.7237
Y4 0.0754 0.3619 0.7237
Rh1 0.0000 0.2500 0.0000
Rh2 0.0000 0.7500 0.0000